Entry 1:
## YCuBr2 (PBE)

Data for a relaxed structure of YCuBr2.

a b c (Å): 5.7126 5.7126 7.5581
angles (deg): 123.33 123.33 37.87
Closest atoms and distances in Å follow each position.
Element x y z (fractional)
Y  0.0000  0.0000  0.0000  2 Cu 2.82, 4 Br 2.90-2.91
Cu  0.7092  0.7092  0.3140  2 Y 2.82, 2 Br 2.93
Br  0.3072  0.3072  0.0302  3 Y 2.90-3.19
Br  0.4272  0.4272  0.6547  2 Y 2.91, 2 Cu 2.93

Computed properties:
Relative energy among the computed polymorphs   0.056 eV per atom
Raw formation energy   -0.859 eV per atom
V   30.81 Å³/atom

---

Entry 2:
## YTaRe (PBE)

Data for a relaxed structure of YTaRe.

a b c (Å): 6.0050 6.0050 6.0050
angles (deg): 147.84 147.84 46.12
Closest atoms and distances in Å follow each position.
Element x y z (fractional)
Y  0.0000  0.0000  0.0000  4 Re 3.09, 5 Ta 3.25-3.29, 4 Y 3.33
Ta  0.2974  0.2974  0.0000  4 Re 2.68
Re  0.6808  0.6808  0.0000  4 Ta 2.68

Computed properties:
Relative energy among the computed polymorphs   0.000 eV per atom
Energy of formation   0.06 eV per atom
V   20.37 Å³/atom

---

Entry 3:
## Nd4NpN4 (PBE)

Data for a relaxed structure of Nd4NpN4.

a b c (Å): 7.0501 7.0501 7.0501
angles (deg): 131.55 131.55 70.94
Closest atoms and distances in Å follow each position.
Element x y z (fractional)
Nd  0.0000  0.5000  0.5000  4 N 2.55
Nd  0.2128  0.2128  0.0000  4 N 2.47-2.61
Nd  0.5000  0.0000  0.5000  4 N 2.55
Nd  0.7872  0.7872  0.0000  4 N 2.47-2.61
Np  0.5000  0.5000  0.0000  4 N 2.22
N  0.1683  0.5753  0.0000  1 Np 2.22, 1 Nd 2.47
N  0.4247  0.4247  0.5930  1 Np 2.22, 1 Nd 2.47
N  0.5753  0.1683  0.0000  1 Np 2.22, 1 Nd 2.47
N  0.8317  0.8317  0.4070  1 Np 2.22, 1 Nd 2.47

Computed properties:
Raw formation energy   -0.677 eV per atom
V   21.35 Å³/atom

---

Entry 4:
## Sm10Dy6Th (PBE)

Data for a relaxed structure of Sm10Dy6Th.

a b c (Å): 9.7492 9.7492 6.9205
angles (deg): 90.00 90.00 120.00
Closest atoms and distances in Å follow each position.
Element x y z (fractional)
Sm  0.0000  0.2763  0.1810  5 Dy 3.36-3.64, 1 Th 3.48, 2 Sm 3.68
Sm  0.0000  0.7237  0.8190  5 Dy 3.36-3.64, 1 Th 3.48, 2 Sm 3.68
Sm  0.2763  0.0000  0.1810  5 Dy 3.36-3.64, 1 Th 3.48, 2 Sm 3.68
Sm  0.2763  0.2763  0.8190  5 Dy 3.36-3.64, 1 Th 3.48, 2 Sm 3.68
Sm  0.3333  0.6667  0.0000  8 Sm 3.46-3.77, 6 Dy 3.76
Sm  0.3333  0.6667  0.5000  6 Dy 3.36, 2 Sm 3.46
Sm  0.6667  0.3333  0.0000  8 Sm 3.46-3.77, 6 Dy 3.76
Sm  0.6667  0.3333  0.5000  6 Dy 3.36, 2 Sm 3.46
Sm  0.7237  0.0000  0.8190  5 Dy 3.36-3.64, 1 Th 3.48, 2 Sm 3.68
Sm  0.7237  0.7237  0.1810  5 Dy 3.36-3.64, 1 Th 3.48, 2 Sm 3.68
Dy  0.0000  0.3694  0.6904  9 Sm 3.36-3.76, 1 Dy 3.66
Dy  0.0000  0.6306  0.3096  9 Sm 3.36-3.76, 1 Dy 3.66
Dy  0.3694  0.0000  0.6904  9 Sm 3.36-3.76, 1 Dy 3.66
Dy  0.3694  0.3694  0.3096  9 Sm 3.36-3.76, 1 Dy 3.66
Dy  0.6306  0.0000  0.3096  9 Sm 3.36-3.76, 1 Dy 3.66
Dy  0.6306  0.6306  0.6904  9 Sm 3.36-3.76, 1 Dy 3.66
Th  0.0000  0.0000  0.5000  6 Sm 3.48, 6 Dy 3.83

Computed properties:
Energy of formation   0.15 eV per atom
V   33.51 Å³/atom

---

Entry 5:
## PmZrGaAg (PBE)

Data for a relaxed structure of PmZrGaAg.

a b c (Å): 5.0328 5.0328 5.0328
angles (deg): 60.00 60.00 60.00
Closest atoms and distances in Å follow each position.
Element x y z (fractional)
Pm  0.0000  0.0000  0.0000  4 Ga 3.08, 4 Ag 3.08
Zr  0.5000  0.5000  0.5000  4 Ag 3.08, 4 Ga 3.08
Ga  0.7500  0.7500  0.7500  4 Zr 3.08, 4 Pm 3.08
Ag  0.2500  0.2500  0.2500  4 Zr 3.08, 4 Pm 3.08

Computed properties:
Energy of formation   -0.26 eV per atom
V   22.53 Å³/atom

---

Entry 6:
## IrPbS2 (PBE)

Data for a relaxed structure of IrPbS2.

a b c (Å): 6.8207 6.8207 6.8207
angles (deg): 126.03 126.03 79.83
Closest atoms and distances in Å follow each position.
Element x y z (fractional)
Ir  0.0000  0.0000  0.0000  4 S 2.28
Ir  0.7500  0.2500  0.5000  4 S 2.28
Pb  0.2500  0.7500  0.5000  4 S 2.89
Pb  0.5000  0.5000  0.0000  4 S 2.89
S  0.0428  0.6250  0.9178  2 Ir 2.28
S  0.3750  0.2928  0.4178  2 Ir 2.28
S  0.7072  0.1250  0.0822  2 Ir 2.28
S  0.8750  0.9572  0.5822  2 Ir 2.28

Computed properties:
Raw formation energy   -0.038 eV per atom
V   25.05 Å³/atom

---

Question: Among the records above, which one has the highest V?
Answer: Sm10Dy6Th

---

What did the fifth record say?
## PmZrGaAg (PBE)

Data for a relaxed structure of PmZrGaAg.

a b c (Å): 5.0328 5.0328 5.0328
angles (deg): 60.00 60.00 60.00
Closest atoms and distances in Å follow each position.
Element x y z (fractional)
Pm  0.0000  0.0000  0.0000  4 Ga 3.08, 4 Ag 3.08
Zr  0.5000  0.5000  0.5000  4 Ag 3.08, 4 Ga 3.08
Ga  0.7500  0.7500  0.7500  4 Zr 3.08, 4 Pm 3.08
Ag  0.2500  0.2500  0.2500  4 Zr 3.08, 4 Pm 3.08

Computed properties:
Energy of formation   -0.26 eV per atom
V   22.53 Å³/atom

---

Question: The lowest V belongs to which entry?
Answer: YTaRe

---

Question: What is the V in the fifth record?
Answer: 22.53 Å³/atom